1.
! LiPuSBr | Alexandria | PBE-GGA | relaxed; values from VASP
&SYSTEM
  ibrav = 0, nat = 8, ntyp = 4
/
ATOMIC_SPECIES
Li 6.94 Li.upf
Pu 244.00 Pu.upf
S 32.06 S.upf
Br 79.90 Br.upf
ATOMIC_POSITIONS angstrom
Li 0.000 0.000 7.844
Li 0.000 0.000 34.192
Pu 0.000 0.000 17.699
Pu 0.000 0.000 24.337
S 0.000 0.000 5.347
S 0.000 0.000 36.688
Br 0.000 0.000 12.162
Br 0.000 0.000 29.874
CELL_PARAMETERS angstrom
2.012 1.162 14.012
-2.012 1.162 14.012
0.000 -2.323 14.012
! Space-group type   R-3m, No. 166
! ΔE_f (raw)   -1.430 eV/atom
! DFT total energy   -55.53 eV per cell

---

2.
! RbTlFeCl5 | Alexandria | PBE-GGA | relaxed; values from VASP
&SYSTEM
  ibrav = 0, nat = 16, ntyp = 4
/
ATOMIC_SPECIES
Rb 85.47 Rb.upf
Tl 204.38 Tl.upf
Fe 55.84 Fe.upf
Cl 35.45 Cl.upf
ATOMIC_POSITIONS angstrom
Rb 0.000 0.000 0.000
Rb -1.854 0.000 5.029
Tl 2.080 2.148 7.544
Tl 3.934 -2.148 2.515
Fe 3.934 2.383 2.515
Fe 2.080 -2.383 7.544
Cl 2.299 3.697 3.243
Cl 2.080 4.868 7.544
Cl 3.259 1.093 0.854
Cl 5.569 3.697 1.786
Cl 1.405 -1.093 5.883
Cl 4.609 1.093 4.175
Cl 0.445 -3.697 8.272
Cl 2.756 -1.093 9.204
Cl 3.934 -4.868 2.515
Cl 3.716 -3.697 6.815
CELL_PARAMETERS angstrom
4.861 -6.482 0.000
4.861 6.482 0.000
-3.707 0.000 10.058
! Space-group type   C2/c, No. 15
! ΔE_f (raw)   -1.144 eV/atom
! DFT total energy   -60.36 eV per cell